First-principles (PBE) data for a relaxed MgZnAs crystal, as listed in the Alexandria database.

- magnetization (μB/cell) = 0.000
- total energy (eV per atom) = -2.57
- density (g cm⁻³) = 4.8
- D(E_F) (states/eV per cell) = 1.600
- formation energy (eV/atom) = -0.063

Lattice parameters (Å, degrees): 3.664 3.664 8.434 90.00 90.00 90.00
Space group I4mm (No. 107)
One atom of each set of equivalent atoms:
Mg: 0.000 0.000 0.000 (multiplicity 2)
Zn: 0.000 0.000 0.678 (multiplicity 2)
As: 0.000 0.000 0.340 (multiplicity 2)